Record 1
Material: Na3Be2H7
Method: DFT, PBE-GGA
State: relaxed

Cell lengths 3.261, 3.176, 12.161 Å; angles 90.00, 97.63, 90.00 degrees
Space group P2/m (No. 10)
Asymmetric unit:
Na  0.000  0.000  0.000
Na  0.184  0.500  0.369
Be  0.373  0.000  0.748
H  0.115  0.000  0.231
H  0.310  0.000  0.619
H  0.381  0.500  0.762
H  0.500  0.500  0.000

Computed properties:
E   -2.907 eV/atom
Size of the total moment   0.00 μB/cell

---

Record 2
Material: Nd15Ho4Tm
Method: DFT, PBE-GGA
State: relaxed

Cell lengths 5.154, 5.154, 25.645 Å; angles 90.00, 90.00, 90.00 degrees
Space group P4/mmm (No. 123)
Asymmetric unit:
Nd  0.000  0.000  0.000
Nd  0.000  0.000  0.200
Nd  0.000  0.000  0.400
Nd  0.000  0.500  0.100
Nd  0.000  0.500  0.300
Nd  0.000  0.500  0.500
Ho  0.500  0.500  0.200
Ho  0.500  0.500  0.400
Tm  0.500  0.500  0.000

Computed properties:
Formation enthalpy at 0 K   11 meV per atom
Size of the total moment   0.00 μB/cell

---

Record 3
Material: Tb2CePmAs4
Method: DFT, PBE-GGA
State: relaxed

Cell lengths 7.235, 4.183, 7.245 Å; angles 90.00, 109.43, 90.00 degrees
Space group P2/m (No. 10)
Asymmetric unit:
Tb  0.000  0.000  0.000
Tb  0.000  0.500  0.500
Ce  0.500  0.000  0.500
Pm  0.500  0.500  0.000
As  0.246  0.000  0.746
As  0.246  0.500  0.250

Computed properties:
Formation enthalpy at 0 K   -1512 meV per atom
Size of the total moment   0.57 μB/cell

---

Record 4
Material: Zr2ZnGa
Method: DFT, PBE-GGA
State: relaxed

Cell lengths 3.047, 3.047, 8.085 Å; angles 90.00, 90.00, 90.00 degrees
Space group P4/mmm (No. 123)
Asymmetric unit:
Zr  0.000  0.000  0.248
Zn  0.500  0.500  0.500
Ga  0.500  0.500  0.000

Computed properties:
Formation enthalpy at 0 K   -387 meV per atom
Size of the total moment   0.00 μB/cell

---

Record 5
Material: TmH11Rh5
Method: DFT, PBE-GGA
State: relaxed

Cell lengths 7.226, 7.765, 5.389 Å; angles 90.00, 108.96, 90.00 degrees
Space group C2/m (No. 12)
Asymmetric unit:
Tm  0.000  0.000  0.000
H  0.000  0.000  0.500
H  0.089  0.244  0.354
H  0.187  0.367  0.938
H  0.194  0.500  0.315
Rh  0.000  0.500  0.000
Rh  0.173  0.197  0.710

Computed properties:
E   -4.681 eV/atom
Size of the total moment   0.00 μB/cell

---

Record 6
Material: LaLuCoRu
Method: DFT, PBE-GGA
State: relaxed

Cell lengths 6.833, 6.833, 6.833 Å; angles 90.00, 90.00, 90.00 degrees
Space group F-43m (No. 216)
Asymmetric unit:
La  0.000  0.000  0.000
Lu  0.000  0.000  0.500
Co  0.250  0.250  0.250
Ru  0.250  0.250  0.750

Computed properties:
Formation enthalpy at 0 K   -153 meV per atom
Size of the total moment   0.05 μB/cell

---

Record 7
Material: Ac3La3Pr8
Method: DFT, PBE-GGA
State: relaxed

Cell lengths 5.957, 11.446, 15.973 Å; angles 90.00, 90.00, 90.00 degrees
Space group Immm (No. 71)
Asymmetric unit:
Ac  0.000  0.000  0.000
Ac  0.000  0.313  0.000
La  0.000  0.000  0.500
La  0.000  0.500  0.191
Pr  0.000  0.161  0.223
Pr  0.000  0.337  0.397

Computed properties:
Formation enthalpy at 0 K   99 meV per atom
Size of the total moment   0.00 μB/cell

---

Record 8
Material: AuO
Method: DFT, PBE-GGA
State: relaxed

Cell lengths 9.439, 3.117, 7.592 Å; angles 90.00, 90.00, 90.00 degrees
Space group Pmn2_1 (No. 31)
Asymmetric unit:
Au  0.000  0.230  0.000
Au  0.155  0.269  0.551
O  0.000  0.769  0.624
O  0.212  0.231  0.976

Computed properties:
E_form (uncorrected)   0.1902 eV per atom
Size of the total moment   0.00 μB/cell

---

Which of these has the highest size of the total moment? Tb2CePmAs4

---

size of the total moment of number 4 (Zr2ZnGa)? 0.00 μB/cell